# 1
The following is a GGA-PBE calculation of a relaxed structure of NaGeTe2, from Alexandria.

Lattice parameters (Å, degrees): 8.153 8.153 8.153 129.93 129.93 73.51
Element x y z (fractional)
Na: 0.000 0.000 0.000
Na: 0.750 0.250 0.500
Ge: 0.250 0.750 0.500
Ge: 0.500 0.500 0.000
Te: 0.175 0.625 0.050
Te: 0.375 0.425 0.550
Te: 0.575 0.125 0.950
Te: 0.875 0.825 0.450

Properties
- crystal system = tetragonal
- DFT total energy (eV/atom) = -3.34
- raw formation energy (eV per formula unit) = -1.13
- DOS(E_F) (states/eV/f.u.) = 2.3

# 2
The following is a GGA-PBE calculation of a relaxed structure of NaGe2Te, from Alexandria.

Lattice parameters (Å, degrees): 4.077 6.555 8.671 86.41 76.61 89.95
Element x y z (fractional)
Na: 0.000 0.000 0.000
Na: 0.172 0.455 0.647
Ge: 0.369 0.279 0.271
Ge: 0.441 0.665 0.123
Ge: 0.807 0.932 0.396
Ge: 0.845 0.549 0.320
Te: 0.199 0.946 0.615
Te: 0.534 0.354 0.929

Properties
- crystal system = triclinic
- DFT total energy (eV/atom) = -3.58
- raw formation energy (eV per formula unit) = -0.64
- DOS(E_F) (states/eV/f.u.) = 0.5